#i
Below is an optimized crystal structure of MnHPd3, with properties calculated at the PBE-GGA level.

a b c (Å): 2.9548 2.9548 17.5294
angles (deg): 90.00 90.00 120.00
Space group P6_3/mmc (No. 194)
Inequivalent atoms, fractional coordinates:
Mn: 0.0000 0.0000 0.0000 (multiplicity 2)
H: 0.3333 0.6667 0.2500 (multiplicity 2)
Pd: 0.0000 0.0000 0.2500 (multiplicity 2)
Pd: 0.3333 0.6667 0.1143 (multiplicity 4)

Calculated values
The size of the total moment comes out at 4.5 μB per formula unit.

=====

#ii
Below is an optimized crystal structure of MnHPd3, with properties calculated at the PBE-GGA level.

a b c (Å): 5.8347 7.5351 11.5654
angles (deg): 90.00 90.00 90.00
Space group Fmmm (No. 69)
Inequivalent atoms, fractional coordinates:
Mn: 0.2455 0.0000 0.0000 (multiplicity 8)
H: 0.0000 0.0000 0.3516 (multiplicity 8)
Pd: 0.0000 0.2484 0.1197 (multiplicity 16)
Pd: 0.2500 0.0000 0.2500 (multiplicity 8)

Calculated values
The size of the total moment comes out at 4.5 μB per formula unit.

=====

The energy of each structure relative to the most stable one, in meV per atom, is as follows: #i 92; #ii 0.